[1]
! KBa2CaLa (PBE, relaxed); values from VASP
&SYSTEM
  ibrav = 0, nat = 5, ntyp = 4
/
ATOMIC_SPECIES
K 39.10 K.upf
Ba 137.33 Ba.upf
Ca 40.08 Ca.upf
La 138.91 La.upf
ATOMIC_POSITIONS angstrom
K 0.000 0.000 0.000
Ba 0.000 3.524 3.220
Ba 3.524 0.000 3.220
Ca 3.524 3.524 3.220
La 3.524 3.524 0.000
CELL_PARAMETERS angstrom
7.047 0.000 0.000
0.000 7.047 0.000
0.000 0.000 6.441
! Magnetic moment (μB per formula unit): 1.49
! Electronic total energy (eV per atom): -1.8077
! Crystal system: tetragonal

=====

[2]
! KBaLiCa2 (PBE, relaxed); values from VASP
&SYSTEM
  ibrav = 0, nat = 5, ntyp = 4
/
ATOMIC_SPECIES
K 39.10 K.upf
Ba 137.33 Ba.upf
Li 6.94 Li.upf
Ca 40.08 Ca.upf
ATOMIC_POSITIONS angstrom
K 0.000 0.000 0.000
Ba 3.135 3.135 0.000
Li 3.135 3.135 3.260
Ca 0.000 3.135 3.260
Ca 3.135 0.000 3.260
CELL_PARAMETERS angstrom
6.270 0.000 0.000
0.000 6.270 0.000
0.000 0.000 6.519
! Magnetic moment (μB per formula unit): 0.00
! Electronic total energy (eV per atom): -1.5932
! Crystal system: tetragonal

=====

[3]
! KBa2LiCa (PBE, relaxed); values from VASP
&SYSTEM
  ibrav = 0, nat = 5, ntyp = 4
/
ATOMIC_SPECIES
K 39.10 K.upf
Ba 137.33 Ba.upf
Li 6.94 Li.upf
Ca 40.08 Ca.upf
ATOMIC_POSITIONS angstrom
K 0.000 0.000 0.000
Ba 0.000 3.367 3.179
Ba 3.367 0.000 3.179
Li 3.367 3.367 3.179
Ca 3.367 3.367 0.000
CELL_PARAMETERS angstrom
6.733 0.000 0.000
0.000 6.733 0.000
0.000 0.000 6.358
! Magnetic moment (μB per formula unit): 0.00
! Electronic total energy (eV per atom): -1.5919
! Crystal system: tetragonal

=====

[4]
! KBaCa2Ni (PBE, relaxed); values from VASP
&SYSTEM
  ibrav = 0, nat = 5, ntyp = 4
/
ATOMIC_SPECIES
K 39.10 K.upf
Ba 137.33 Ba.upf
Ca 40.08 Ca.upf
Ni 58.69 Ni.upf
ATOMIC_POSITIONS angstrom
K 0.000 0.000 0.000
Ba 2.909 2.909 0.000
Ca 0.000 2.909 3.057
Ca 2.909 0.000 3.057
Ni 2.909 2.909 3.057
CELL_PARAMETERS angstrom
5.818 0.000 0.000
0.000 5.818 0.000
0.000 0.000 6.115
! Magnetic moment (μB per formula unit): 0.00
! Electronic total energy (eV per atom): -2.5296
! Crystal system: tetragonal